# 1
A geometry-optimized Li2MgZnIr2Pb2 structure. Source: the Open Quantum Materials Database, functional PBE-GGA.

a = 4.590 Å, b = 4.590 Å, c = 6.501 Å
α = 90.00°, β = 90.00°, γ = 90.00°
Positions (direct):
Ir: 0.500 0.000 0.243
Ir: 0.000 0.500 0.757
Li: 0.000 0.500 0.238
Li: 0.500 0.000 0.762
Mg: 0.000 0.000 0.500
Pb: 0.000 0.000 0.000
Pb: 0.500 0.500 0.500
Zn: 0.500 0.500 0.000

Theoretical density in g/cm³: 10.9
M_tot in μB per formula unit: 0.00
E_tot in eV per atom: -4.145

=====

# 2
A geometry-optimized Li2Mg2Sn2IrPd structure. Source: the Open Quantum Materials Database, functional PBE-GGA.

a = 4.564 Å, b = 4.564 Å, c = 6.445 Å
α = 90.00°, β = 90.00°, γ = 90.00°
Positions (direct):
Ir: 0.500 0.500 0.000
Li: 0.000 0.000 0.000
Li: 0.500 0.500 0.500
Mg: 0.000 0.500 0.247
Mg: 0.500 0.000 0.753
Pd: 0.000 0.000 0.500
Sn: 0.500 0.000 0.244
Sn: 0.000 0.500 0.756

Theoretical density in g/cm³: 7.4
M_tot in μB per formula unit: 0.00
E_tot in eV per atom: -4.146

=====

# 3
A geometry-optimized Li2Mg2Tl2IrPd structure. Source: the Open Quantum Materials Database, functional PBE-GGA.

a = 4.630 Å, b = 4.630 Å, c = 6.530 Å
α = 90.00°, β = 90.00°, γ = 90.00°
Positions (direct):
Ir: 0.000 0.000 0.000
Li: 0.500 0.500 0.000
Li: 0.000 0.000 0.500
Mg: 0.500 0.000 0.246
Mg: 0.000 0.500 0.754
Pd: 0.500 0.500 0.500
Tl: 0.000 0.500 0.246
Tl: 0.500 0.000 0.754

Theoretical density in g/cm³: 9.1
M_tot in μB per formula unit: 0.00
E_tot in eV per atom: -3.506

=====

# 4
A geometry-optimized Li2Mg2Tl2IrPt structure. Source: the Open Quantum Materials Database, functional PBE-GGA.

a = 4.621 Å, b = 4.621 Å, c = 6.544 Å
α = 90.00°, β = 90.00°, γ = 90.00°
Positions (direct):
Ir: 0.500 0.500 0.500
Li: 0.500 0.500 0.000
Li: 0.000 0.000 0.500
Mg: 0.500 0.000 0.252
Mg: 0.000 0.500 0.748
Pt: 0.000 0.000 0.000
Tl: 0.000 0.500 0.255
Tl: 0.500 0.000 0.745

Theoretical density in g/cm³: 10.2
M_tot in μB per formula unit: 0.00
E_tot in eV per atom: -3.645

=====

# 5
A geometry-optimized Li4MgSiIr2 structure. Source: the Open Quantum Materials Database, functional PBE-GGA.

a = 4.208 Å, b = 4.208 Å, c = 6.078 Å
α = 90.00°, β = 90.00°, γ = 90.00°
Positions (direct):
Ir: 0.500 0.000 0.287
Ir: 0.000 0.500 0.713
Li: 0.500 0.500 0.000
Li: 0.000 0.500 0.262
Li: 0.000 0.000 0.500
Li: 0.500 0.000 0.738
Mg: 0.000 0.000 0.000
Si: 0.500 0.500 0.500

Theoretical density in g/cm³: 7.2
M_tot in μB per formula unit: 0.00
E_tot in eV per atom: -4.428

=====

# 6
A geometry-optimized Li4MgSn2Ir structure. Source: the Open Quantum Materials Database, functional PBE-GGA.

a = 4.563 Å, b = 4.563 Å, c = 6.584 Å
α = 90.00°, β = 90.00°, γ = 90.00°
Positions (direct):
Ir: 0.000 0.000 0.000
Li: 0.500 0.500 0.000
Li: 0.500 0.000 0.222
Li: 0.000 0.000 0.500
Li: 0.000 0.500 0.778
Mg: 0.500 0.500 0.500
Sn: 0.000 0.500 0.225
Sn: 0.500 0.000 0.775

Theoretical density in g/cm³: 5.8
M_tot in μB per formula unit: 0.00
E_tot in eV per atom: -3.598

=====

What is the M_tot in the second record? 0.00 μB per formula unit

=====

What did the fifth record say?
A geometry-optimized Li4MgSiIr2 structure. Source: the Open Quantum Materials Database, functional PBE-GGA.

a = 4.208 Å, b = 4.208 Å, c = 6.078 Å
α = 90.00°, β = 90.00°, γ = 90.00°
Positions (direct):
Ir: 0.500 0.000 0.287
Ir: 0.000 0.500 0.713
Li: 0.500 0.500 0.000
Li: 0.000 0.500 0.262
Li: 0.000 0.000 0.500
Li: 0.500 0.000 0.738
Mg: 0.000 0.000 0.000
Si: 0.500 0.500 0.500

Theoretical density in g/cm³: 7.2
M_tot in μB per formula unit: 0.00
E_tot in eV per atom: -4.428

=====

What is the theoretical density in the fourth record? 10.2 g/cm³

=====

Among the records above, which one has the highest theoretical density? Li2MgZnIr2Pb2